1.
Tb2DyGa6 | Alexandria | PBE | optimized geometry; E above lowest polymorph = 0.00 kcal/mol of atoms; final energy = -4.20 eV per atom; spin magnetization = 0.000 μB per cell; calculated formation energy = -5.8 eV per formula unit; symmetry = P6/mmm, No. 191
1.0
-3.415 1.908 -1.329
2.542 -0.211 -6.836
-4.064 -5.496 2.552
Tb Dy Ga
2 1 6
Cartesian
-1.862 -3.734 -0.577
-3.075 -0.065 -5.035
-4.064 -5.496 2.552
-2.214 -0.947 -2.091
-2.722 -2.852 -3.521
-4.418 -2.711 1.038
-4.076 -4.683 -2.671
-0.861 0.884 -2.942
-3.061 -0.877 0.186

***

2.
Tb2DyGa9 | Alexandria | PBE | optimized geometry; final energy = -3.97 eV per atom; spin magnetization = 0.000 μB per cell; calculated formation energy = -6.5 eV per formula unit; symmetry = P4/mmm, No. 123
1.0
-3.407 1.074 2.357
0.745 -3.324 2.591
7.441 7.419 7.378
Tb Dy Ga
2 1 9
Cartesian
2.478 2.471 2.457
4.963 4.948 4.921
0.000 0.000 0.000
-1.331 -1.125 2.474
1.150 1.348 4.934
3.629 3.820 7.392
-0.468 1.769 2.404
2.017 4.246 4.868
4.502 6.723 7.331
1.608 -0.430 2.521
4.093 2.047 4.985
6.578 4.524 7.448

***

3.
Tb4DyGa5 | Alexandria | PBE | optimized geometry; final energy = -4.41 eV per atom; spin magnetization = 0.000 μB per cell; calculated formation energy = -5.9 eV per formula unit; symmetry = P4/mmm, No. 123
1.0
3.579 0.000 0.000
0.000 3.579 0.000
0.000 0.000 17.946
Tb Dy Ga
4 1 5
Cartesian
0.000 0.000 3.577
0.000 0.000 7.174
0.000 0.000 10.772
0.000 0.000 14.369
0.000 0.000 0.000
1.790 1.790 1.774
1.790 1.790 5.376
1.790 1.790 8.973
1.790 1.790 12.570
1.790 1.790 16.171

***

4.
TbDy3Ga2 | Alexandria | PBE | optimized geometry; E above lowest polymorph = 0.00 kcal/mol of atoms; final energy = -4.51 eV per atom; spin magnetization = 0.000 μB per cell; calculated formation energy = -2.6 eV per formula unit; symmetry = Pmc2_1, No. 26
1.0
-1.139 4.219 2.342
-4.864 -3.079 3.182
5.991 -2.254 6.976
Tb Dy Ga
2 6 4
Cartesian
0.125 -0.773 6.703
1.964 0.989 4.422
3.422 -3.577 8.110
-4.400 -3.089 3.425
-2.782 -0.366 4.556
3.510 -0.279 7.460
0.334 -1.726 3.273
0.053 -4.075 7.369
1.124 -2.010 9.419
-0.742 1.146 2.823
2.432 -2.340 5.399
-1.696 -3.241 5.016

***

5.
TbDy5Ga6 | Alexandria | PBE | optimized geometry; final energy = -4.40 eV per atom; spin magnetization = 0.000 μB per cell; calculated formation energy = -7.0 eV per formula unit; symmetry = Cmmm, No. 65
1.0
4.790 -0.029 1.596
0.038 7.135 0.013
-0.001 -0.014 7.989
Tb Ga Dy
1 6 5
Cartesian
0.000 0.000 0.000
4.019 5.316 4.009
3.999 1.761 4.002
2.405 1.772 0.802
2.424 5.334 0.808
0.828 5.331 5.596
0.809 1.775 5.589
3.210 3.539 6.403
1.596 -0.014 3.198
0.019 3.567 0.006
3.194 -0.029 6.388
1.618 3.553 3.195

***

6.
Tb2DyGa3 | Alexandria | PBE | optimized geometry; E above lowest polymorph = 0.00 kcal/mol of atoms; final energy = -4.41 eV per atom; spin magnetization = 0.000 μB per cell; calculated formation energy = -3.5 eV per formula unit; symmetry = P-3m1, No. 164
1.0
5.059 0.000 0.000
-2.530 4.381 0.000
0.000 0.000 12.433
Tb Dy Ga
4 2 6
Cartesian
0.000 0.000 6.216
0.000 2.921 2.078
2.530 1.460 10.354
0.000 0.000 0.000
0.000 2.921 8.289
2.530 1.460 4.143
0.000 2.921 5.184
2.530 1.460 1.039
0.000 0.000 9.319
0.000 0.000 3.113
0.000 2.921 11.393
2.530 1.460 7.248

***

7.
TbDy3Ga2 | Alexandria | PBE | optimized geometry; E above lowest polymorph = 2.29 kcal/mol of atoms; final energy = -4.41 eV per atom; spin magnetization = 0.002 μB per cell; calculated formation energy = -2.0 eV per formula unit; symmetry = C2/m, No. 12
1.0
5.049 0.000 0.000
-2.525 8.704 -0.738
0.000 -4.557 7.611
Tb Dy Ga
2 6 4
Cartesian
2.525 2.219 6.548
0.000 1.928 0.324
0.000 2.613 4.259
2.525 4.919 3.863
2.525 -1.209 5.397
0.000 5.355 1.475
0.000 -0.773 3.009
2.525 1.534 2.613
2.525 -3.749 6.666
0.000 7.896 0.206
2.525 4.021 0.802
0.000 0.125 6.070

***

8.
Tb3Dy4Ga4 | Alexandria | PBE | optimized geometry; final energy = -4.37 eV per atom; spin magnetization = 0.000 μB per cell; calculated formation energy = -3.6 eV per formula unit; symmetry = Immm, No. 71
1.0
-0.866 -3.782 2.516
1.731 -4.620 -6.348
7.153 3.957 4.162
Tb Dy Ga
3 4 4
Cartesian
1.715 -0.055 0.508
6.303 -4.389 -0.178
0.866 -2.310 -3.174
4.679 0.779 2.781
2.634 -3.343 0.132
3.339 -5.223 -2.452
5.384 -1.102 0.198
4.147 -2.415 -2.203
3.871 -2.029 2.532
1.013 -5.749 -4.044
-0.148 -2.652 0.212

***

9.
Tb8Dy2Ga | Alexandria | PBE | optimized geometry; final energy = -4.50 eV per atom; spin magnetization = 0.000 μB per cell; calculated formation energy = -0.3 eV per formula unit; symmetry = C2/m, No. 12
1.0
5.417 0.000 0.000
0.000 7.388 -0.227
-2.708 -3.419 8.705
Tb Dy Ga
8 2 1
Cartesian
0.000 1.961 6.275
2.708 5.534 2.105
2.708 3.863 5.312
2.708 -1.603 8.646
0.000 0.105 3.166
0.000 -1.565 6.373
2.708 2.008 2.203
0.000 5.571 -0.168
2.708 0.170 5.285
0.000 3.799 3.193
2.708 0.000 0.000

***

10.
TbDyTlGa | Alexandria | PBE | optimized geometry; E above lowest polymorph = 0.00 kcal/mol of atoms; final energy = -4.12 eV per atom; spin magnetization = 0.000 μB per cell; calculated formation energy = -1.8 eV per formula unit; symmetry = P4mm, No. 99
1.0
-0.107 0.509 -3.559
2.966 -2.001 -0.375
-4.404 -6.382 -0.780
Tb Dy Tl Ga
1 1 1 1
Cartesian
0.879 -1.544 -2.065
-1.165 -4.505 -2.427
-3.768 -5.460 -0.668
-1.577 -2.286 -0.280

***

11.
TbDyTlGa | Alexandria | PBE | optimized geometry; E above lowest polymorph = 0.67 kcal/mol of atoms; final energy = -4.09 eV per atom; spin magnetization = 0.000 μB per cell; calculated formation energy = -1.7 eV per formula unit; symmetry = F-43m, No. 216
1.0
5.234 0.000 0.000
2.617 4.533 0.000
2.617 1.511 4.273
Tl Tb Ga Dy
1 1 1 1
Cartesian
7.851 4.533 3.205
0.000 0.000 0.000
2.617 1.511 1.068
5.234 3.022 2.137

***

12.
TbDyTmGa | Alexandria | PBE | optimized geometry; final energy = -4.28 eV per atom; spin magnetization = 0.480 μB per cell; calculated formation energy = -0.4 eV per formula unit; symmetry = F-43m, No. 216
1.0
-3.025 -0.391 -4.334
1.214 -3.521 -3.770
-3.056 -4.269 -0.722
Tm Tb Ga Dy
1 1 1 1
Cartesian
-3.650 -6.136 -6.620
0.000 0.000 0.000
-1.217 -2.045 -2.207
-2.434 -4.090 -4.413

***

13.
Tb2Dy2ZnGa4 | Alexandria | PBE | optimized geometry; final energy = -3.82 eV per atom; spin magnetization = 0.005 μB per cell; calculated formation energy = -2.6 eV per formula unit; symmetry = I4/mmm, No. 139
1.0
-0.450 -0.636 6.527
-2.062 -5.136 -3.546
6.091 0.283 -2.456
Tb Dy Zn Ga
2 2 1 4
Cartesian
2.769 -3.336 -4.126
1.259 -1.517 -1.876
-0.249 -4.099 -0.010
3.827 -1.390 0.535
0.000 0.000 0.000
-0.065 -3.808 -3.279
2.811 -3.988 -1.203
4.093 -1.045 -2.723
0.766 -1.501 1.728

***

14.
Tb2DyZn2Ga2 | Alexandria | PBE | optimized geometry; final energy = -3.61 eV per atom; spin magnetization = 0.000 μB per cell; calculated formation energy = -2.8 eV per formula unit; symmetry = R-3m, No. 166
1.0
-0.315 -0.232 4.422
2.085 -3.239 2.207
8.026 4.182 3.021
Tb Dy Zn Ga
2 1 2 2
Cartesian
5.212 2.161 2.714
4.584 -1.451 6.936
0.000 0.000 0.000
2.589 -1.303 4.573
7.207 2.012 5.077
7.665 0.761 7.272
2.131 -0.051 2.378

***

15.
TbDy2Zn2Ga2 | Alexandria | PBE | optimized geometry; final energy = -3.61 eV per atom; spin magnetization = 0.000 μB per cell; calculated formation energy = -2.8 eV per formula unit; symmetry = R-3m, No. 166
1.0
4.443 0.000 0.000
2.221 3.847 0.000
2.221 1.282 9.146
Tb Dy Zn Ga
1 2 2 2
Cartesian
0.000 0.000 0.000
2.221 1.282 5.670
6.664 3.847 3.475
4.443 2.565 1.779
4.443 2.565 7.367
6.664 3.847 7.209
2.221 1.282 1.937

***

16.
Dy2Ga3Tc | Alexandria | PBE | optimized geometry; E above lowest polymorph = 5.68 kcal/mol of atoms; final energy = -5.05 eV per atom; spin magnetization = 0.000 μB per cell; calculated formation energy = -1.7 eV per formula unit; symmetry = Immm, No. 71
1.0
-2.752 -2.764 2.511
2.768 -4.305 -1.706
3.116 3.988 3.520
Dy Ga Tc
2 3 1
Cartesian
-0.127 -1.201 2.824
3.258 -1.880 1.501
2.354 0.342 2.957
0.000 0.000 0.000
0.777 -3.423 1.368
1.384 -2.152 -0.853

***

17.
DyGa2Tc | Alexandria | PBE | optimized geometry; E above lowest polymorph = 3.92 kcal/mol of atoms; final energy = -5.55 eV per atom; spin magnetization = 0.000 μB per cell; calculated formation energy = -1.2 eV per formula unit; symmetry = R-3m, No. 166
1.0
4.243 0.000 0.000
2.121 3.674 0.000
2.121 1.225 4.998
Tc Ga Dy
1 2 1
Cartesian
0.000 0.000 0.000
6.364 3.674 4.226
2.121 1.225 0.771
4.243 2.450 2.499

***

18.
DyGa8Tc2 | Alexandria | PBE | optimized geometry; final energy = -4.68 eV per atom; spin magnetization = 0.000 μB per cell; calculated formation energy = -1.9 eV per formula unit; symmetry = C2/m, No. 12
1.0
-1.163 3.419 -3.238
-1.605 -5.455 -3.652
-5.513 0.361 3.892
Dy Ga Tc
1 8 2
Cartesian
-0.581 1.709 -1.619
-6.047 -1.622 -3.690
-7.053 -0.124 -1.748
-4.689 -2.318 -0.642
-3.340 -2.029 -3.045
-4.941 0.354 0.047
-3.593 0.643 -2.356
-1.228 -1.551 -1.250
-2.234 -0.053 0.693
-4.417 -1.270 1.777
-2.701 -3.824 -1.537

***

19.
Dy2GaTc3 | Alexandria | PBE | optimized geometry; final energy = -7.55 eV per atom; spin magnetization = 0.000 μB per cell; calculated formation energy = -2.0 eV per formula unit; symmetry = R-3m, No. 166
1.0
4.725 -0.136 -2.465
-3.007 4.396 -0.240
-0.159 0.192 5.453
Dy Ga Tc
2 1 3
Cartesian
2.417 1.586 -1.219
-0.858 2.866 3.968
0.000 0.000 0.000
0.780 2.226 1.374
-0.079 0.096 2.727
2.283 0.028 1.494

***

20.
DyGa3Tc3 | Alexandria | PBE | optimized geometry; final energy = -5.67 eV per atom; spin magnetization = 2.525 μB per cell; calculated formation energy = 5.1 eV per formula unit; symmetry = Pm-3n, No. 223
1.0
-6.010 3.099 -0.067
-2.449 -4.836 -4.043
-1.901 -3.569 5.420
Tc Ga Dy
6 6 2
Cartesian
-1.563 -2.993 1.699
-2.787 -5.411 -0.322
-4.430 -1.127 4.031
-5.732 -0.093 -2.072
-3.480 0.657 1.322
-2.727 -1.643 -2.038
-2.453 -1.010 2.693
-1.700 -3.310 -0.667
-4.841 -2.077 -3.066
-5.458 0.540 2.660
-2.650 -5.095 2.043
-3.617 0.341 -1.044
-5.180 -2.653 0.655
0.000 0.000 0.000